# Mg2ZnWF

A relaxed Mg2ZnWF crystal (PBE+U, Alexandria via LeMat-Bulk). Values from VASP.

```
&SYSTEM
  ibrav = 0, nat = 5, ntyp = 4
/
ATOMIC_SPECIES
W 183.84 W.upf
Mg 24.30 Mg.upf
F 19.00 F.upf
Zn 65.41 Zn.upf
ATOMIC_POSITIONS angstrom
W 0.0000 0.0000 0.0000
Mg 2.8029 0.0000 0.0000
F 2.8029 2.6184 2.8029
Zn 0.0000 2.6184 0.0000
Mg 0.0000 0.0000 2.8029
CELL_PARAMETERS angstrom
5.6057 0.0000 0.0000
0.0000 5.2368 0.0000
0.0000 0.0000 5.6057
```

## Properties
As for the space group: P4/mmm (123). For the mass density, the calculation gives 3.197 g/cm³. The value obtained for the calculated total energy is -2.105 eV per atom.